(1)
Below is Tb5NdHoTm2 after structural relaxation, with properties calculated at the PBE-GGA level.

Cell lengths 10.324, 10.324, 10.515 Å; angles 90.00, 90.00, 148.52 degrees
Positions (direct):
Tb: 0.018 0.982 0.500
Tb: 0.281 0.719 0.790
Tb: 0.298 0.702 0.185
Tb: 0.387 0.613 0.500
Tb: 0.479 0.521 0.215
Tb: 0.521 0.479 0.715
Tb: 0.613 0.387 0.000
Tb: 0.702 0.298 0.685
Tb: 0.719 0.281 0.290
Tb: 0.982 0.018 0.000
Nd: 0.415 0.585 0.928
Nd: 0.585 0.415 0.428
Ho: 0.199 0.801 0.489
Ho: 0.801 0.199 0.989
Tm: 0.112 0.888 0.212
Tm: 0.114 0.886 0.795
Tm: 0.886 0.114 0.295
Tm: 0.888 0.112 0.712

- calculated formation energy (meV per atom) = 160
- DOS at the Fermi energy (states/eV per cell) = 29.3
- E_tot (eV/f.u.) = -40.0
- volume (Å³/f.u.) = 293

---

(2)
Below is Sr2NdSn3Pd4 after structural relaxation, with properties calculated at the PBE-GGA level.

Cell lengths 4.706, 4.706, 11.312 Å; angles 90.00, 90.00, 90.00 degrees
Positions (direct):
Sr: 0.000 0.500 0.226
Sr: 0.500 0.000 0.774
Nd: 0.000 0.000 0.500
Sn: 0.000 0.500 0.883
Sn: 0.500 0.000 0.117
Sn: 0.500 0.500 0.500
Pd: 0.000 0.000 0.000
Pd: 0.000 0.500 0.649
Pd: 0.500 0.000 0.351
Pd: 0.500 0.500 0.000

- calculated formation energy (meV per atom) = -754
- DOS at the Fermi energy (states/eV per cell) = 4.0
- E_tot (eV/f.u.) = -48.4
- volume (Å³/f.u.) = 251